Record 1
A plane-wave DFT calculation with PBE was carried out for a geometry-optimized CaSO2F structure.

Calculated values
- uncorrected formation energy (eV/atom) = -1.369

Lattice parameters (Å, degrees): 3.709 3.709 4.818 90.00 90.00 90.00
Fractional positions:
Ca1 0.500 0.500 0.500
S1 0.000 0.000 0.000
O1 0.000 0.500 0.000
O2 0.500 0.000 0.000
F1 0.000 0.000 0.500

---

Record 2
A plane-wave DFT calculation with PBE was carried out for a geometry-optimized Tb4ZnAu2 structure.

Calculated values
- energy relative to the elements (eV per formula unit) = -3.7

Lattice parameters (Å, degrees): 5.058 5.058 8.697 73.09 73.09 60.00
Fractional positions:
Tb1 0.874 0.874 0.378
Tb2 0.126 0.126 0.622
Tb3 0.623 0.623 0.131
Tb4 0.377 0.377 0.869
Zn1 0.000 0.000 0.000
Au1 0.750 0.750 0.749
Au2 0.250 0.250 0.251

---

Record 3
A plane-wave DFT calculation with PBE was carried out for a geometry-optimized NaBS2Cl structure.

Calculated values
- uncorrected formation energy (eV/atom) = 1.355

Lattice parameters (Å, degrees): 5.189 5.189 5.081 90.00 90.00 90.00
Each line ends with the local moment (μB).
Fractional positions:
Na1 0.000 0.000 0.000  0.00
S1 0.000 0.500 0.000  0.88
S2 0.500 0.000 0.000  0.88
B1 0.500 0.500 0.500  -0.07
Cl1 0.000 0.000 0.500  0.24

---

Record 4
A plane-wave DFT calculation with PBE was carried out for a geometry-optimized Li7SnAu4 structure.

Calculated values
- energy relative to the elements (eV per formula unit) = -4.0

Lattice parameters (Å, degrees): 4.862 7.543 6.841 66.87 69.18 71.20
Fractional positions:
Li1 0.793 0.882 0.532
Li2 0.207 0.118 0.468
Li3 0.076 0.583 0.265
Li4 0.924 0.417 0.735
Li5 0.250 0.705 0.794
Li6 0.500 0.000 0.000
Li7 0.750 0.295 0.206
Sn1 0.000 0.000 0.000
Au1 0.560 0.276 0.605
Au2 0.440 0.724 0.395
Au3 0.685 0.657 0.972
Au4 0.315 0.343 0.028

---

Record 5
A plane-wave DFT calculation with PBE was carried out for a geometry-optimized PBrF3 structure.

Calculated values
- uncorrected formation energy (eV/atom) = -0.838

Lattice parameters (Å, degrees): 4.148 4.148 4.148 90.00 90.00 90.00
Each line ends with the local moment (μB).
Fractional positions:
P1 0.000 0.000 0.000  -0.01
Br1 0.500 0.500 0.500  0.67
F1 0.000 0.500 0.000  0.04
F2 0.000 0.000 0.500  0.03
F3 0.500 0.000 0.000  0.07

---

Record 6
A plane-wave DFT calculation with PBE was carried out for a geometry-optimized V2Co2Ru structure.

Calculated values
- energy relative to the elements (eV per formula unit) = 0.4

Lattice parameters (Å, degrees): 6.663 6.663 2.828 90.00 90.00 90.00
Fractional positions:
Ru1 0.000 0.000 0.000
Ru2 0.500 0.500 0.000
Co1 0.138 0.638 0.500
Co2 0.638 0.862 0.500
Co3 0.862 0.362 0.500
Co4 0.362 0.138 0.500
V1 0.341 0.841 0.000
V2 0.841 0.659 0.000
V3 0.659 0.159 0.000
V4 0.159 0.341 0.000